## Fe4O7F (PBE with a Hubbard U)

Data for a geometry-optimized Fe4O7F structure.

abc: 5.515 4.634 10.114
angles: 90.00 95.63 90.00
Sites, in units of the cell vectors:
Fe: 0.000 0.228 0.000
Fe: 0.000 0.772 0.500
Fe: 0.267 0.235 0.762
Fe: 0.267 0.765 0.262
Fe: 0.519 0.249 0.503
Fe: 0.519 0.751 0.003
Fe: 0.761 0.259 0.252
Fe: 0.761 0.741 0.752
O: 0.029 0.058 0.176
O: 0.029 0.942 0.676
O: 0.280 0.045 0.934
O: 0.280 0.955 0.434
O: 0.493 0.449 0.329
O: 0.493 0.551 0.829
O: 0.529 0.061 0.676
O: 0.529 0.939 0.176
O: 0.741 0.437 0.079
O: 0.741 0.563 0.579
O: 0.782 0.068 0.420
O: 0.782 0.932 0.920
O: 0.997 0.432 0.833
O: 0.997 0.568 0.333
F: 0.236 0.452 0.582
F: 0.236 0.548 0.082

Energy above the lowest structure with this stoichiometry (eV per atom): 0.0100
Final energy (eV per atom): -6.127
Symmetry: Pc (7)
M_tot (μB/cell): 34.2